(1)
# Tb3ErSi4, relaxed, DFT PBE
data_Tb3ErSi4
_cell_length_a 5.7043
_cell_length_b 3.8376
_cell_length_c 7.9229
_cell_angle_alpha 90.00
_cell_angle_beta 90.10
_cell_angle_gamma 90.00
_symmetry_space_group_name_H-M 'P 1 m 1'
_symmetry_Int_Tables_number 6
loop_
_symmetry_equiv_pos_as_xyz
'x,y,z'
'x,-y,z'
loop_
_atom_site_label
_atom_site_fract_x
_atom_site_fract_y
_atom_site_fract_z
_atom_site_occupancy
Tb1 0.0000 0.0000 0.0000 1
Tb2 0.2295 0.5000 0.3590 1
Tb3 0.5003 0.5000 0.8579 1
Er1 0.7300 0.0000 0.4998 1
Si1 0.2434 0.0000 0.6405 1
Si2 0.4864 0.0000 0.1423 1
Si3 0.7429 0.5000 0.2189 1
Si4 0.9849 0.5000 0.7155 1
# - total DFT energy (no corrections) (eV/atom) = -5.85


(2)
# TbErSi2, relaxed, DFT PBE
data_TbErSi2
_cell_length_a 5.6858
_cell_length_b 3.8252
_cell_length_c 7.8828
_cell_angle_alpha 90.00
_cell_angle_beta 90.08
_cell_angle_gamma 90.00
_symmetry_space_group_name_H-M 'P 1 21/m 1'
_symmetry_Int_Tables_number 11
loop_
_symmetry_equiv_pos_as_xyz
'x,y,z'
'-x,-y,-z'
'-x,y+1/2,-z'
'x,-y+1/2,z'
loop_
_atom_site_label
_atom_site_fract_x
_atom_site_fract_y
_atom_site_fract_z
_atom_site_occupancy
Tb1 0.1149 0.2500 0.1792 1
Er1 0.3850 0.2500 0.6790 1
Si1 0.1293 0.7500 0.4621 1
Si2 0.3712 0.7500 0.9617 1
# - total DFT energy (no corrections) (eV/atom) = -5.84


(3)
# TbErSi2, relaxed, DFT PBE
data_TbErSi2
_cell_length_a 3.8282
_cell_length_b 7.8875
_cell_length_c 5.6828
_cell_angle_alpha 90.00
_cell_angle_beta 90.00
_cell_angle_gamma 90.00
_symmetry_space_group_name_H-M 'P m n 21'
_symmetry_Int_Tables_number 31
loop_
_symmetry_equiv_pos_as_xyz
'x,y,z'
'-x+1/2,-y,z+1/2'
'-x,y,z'
'x+1/2,-y,z+1/2'
loop_
_atom_site_label
_atom_site_fract_x
_atom_site_fract_y
_atom_site_fract_z
_atom_site_occupancy
Tb1 0.0000 0.0714 0.0000 1
Er1 0.0000 0.5701 0.2705 1
Si1 0.0000 0.2145 0.5160 1
Si2 0.0000 0.7091 0.7568 1
# - total DFT energy (no corrections) (eV/atom) = -5.84


(4)
# TbErSi, relaxed, DFT PBE
data_TbErSi
_cell_length_a 6.8267
_cell_length_b 6.8267
_cell_length_c 6.8267
_cell_angle_alpha 90.00
_cell_angle_beta 90.00
_cell_angle_gamma 90.00
_symmetry_space_group_name_H-M 'F -4 3 m'
_symmetry_Int_Tables_number 216
_symmetry_space_group_name_Hall 'F -4 2 3'
loop_
_atom_site_label
_atom_site_fract_x
_atom_site_fract_y
_atom_site_fract_z
_atom_site_occupancy
Tb1 0.0000 0.0000 0.0000 1
Er1 0.0000 0.0000 0.5000 1
Si1 0.2500 0.2500 0.7500 1
# - total DFT energy (no corrections) (eV/atom) = -5.34


(5)
# Tb2ErZn4Si4, relaxed, DFT PBE
data_Tb2ErZn4Si4
_cell_length_a 4.0035
_cell_length_b 4.1016
_cell_length_c 24.6016
_cell_angle_alpha 90.00
_cell_angle_beta 90.00
_cell_angle_gamma 90.00
_symmetry_space_group_name_H-M 'I m m m'
_symmetry_Int_Tables_number 71
_symmetry_space_group_name_Hall '-I 2 2'
loop_
_atom_site_label
_atom_site_fract_x
_atom_site_fract_y
_atom_site_fract_z
_atom_site_occupancy
Tb1 0.0000 0.0000 0.1435 1
Er1 0.0000 0.5000 0.0000 1
Zn1 0.0000 0.0000 0.4064 1
Zn2 0.0000 0.5000 0.2505 1
Si1 0.0000 0.0000 0.3108 1
Si2 0.0000 0.5000 0.4528 1
# - total DFT energy (no corrections) (eV/atom) = -4.22


(6)
# TbErZn2Si2, relaxed, DFT PBE
data_TbErZn2Si2
_cell_length_a 4.1304
_cell_length_b 4.1304
_cell_length_c 15.7486
_cell_angle_alpha 90.00
_cell_angle_beta 90.00
_cell_angle_gamma 120.00
_symmetry_space_group_name_H-M 'P 63/m m c'
_symmetry_Int_Tables_number 194
_symmetry_space_group_name_Hall '-P 6c 2c'
loop_
_atom_site_label
_atom_site_fract_x
_atom_site_fract_y
_atom_site_fract_z
_atom_site_occupancy
Tb1 0.0000 0.0000 0.0000 1
Er1 0.0000 0.0000 0.2500 1
Zn1 0.3333 0.6667 0.1377 1
Si1 0.3333 0.6667 0.6205 1
# - total DFT energy (no corrections) (eV/atom) = -4.39